1.
DFT (PBE-GGA) results for a relaxed VH crystal.

POSCAR file:
```
VH
1.0
-0.373 -0.533 -3.113
-2.028 -2.328 0.642
-7.166 6.185 -0.202
H V
6 6
direct
0.000 0.015 0.670
0.500 0.985 0.170
0.000 0.473 0.000
0.500 0.985 0.830
0.500 0.527 0.500
0.000 0.015 0.330
0.500 0.226 0.000
0.500 0.271 0.667
0.000 0.774 0.500
0.000 0.729 0.167
0.500 0.271 0.333
0.000 0.729 0.833
```

Results
The calculated density comes out at 5.451 g/cm³. Its space group is No. 59. For the total energy, the calculation gives -6.44 eV per atom. Its total magnetization is 0.00 μB per formula unit.


2.
DFT (PBE-GGA) results for a relaxed VH crystal.

POSCAR file:
```
VH
1.0
4.066 0.000 0.000
0.000 4.066 0.000
0.000 0.000 4.066
V H
4 4
direct
0.500 0.000 0.500
0.000 0.000 0.000
0.500 0.500 0.000
0.000 0.500 0.500
0.250 0.250 0.250
0.250 0.750 0.750
0.750 0.750 0.250
0.750 0.250 0.750
```

Results
The calculated density comes out at 5.133 g/cm³. Its space group is No. 216. For the total energy, the calculation gives -6.31 eV per atom. Its total magnetization is 0.00 μB per formula unit.